Y2CuC | PBE-GGA | optimized geometry

Cell and atoms, written as extended XYZ:
```
4
Lattice="3.541 0.000 0.000 1.770 3.067 0.000 1.770 1.022 8.342" Properties=species:S:1:pos:R:3 pbc="T T T"
Y 1.770 1.022 5.506
Y 5.311 3.067 2.836
Cu 0.000 0.000 0.000
C 3.541 2.044 4.171
```

## Properties
mass density	4.64	g/cm3
E	-6.39	eV per atom
crystal system	trigonal
energy relative to the elements	3.88	kcal/mol of atoms
symmetry	R-3m

=====

Y2CuC | PBE-GGA | optimized geometry

Cell and atoms, written as extended XYZ:
```
8
Lattice="-2.346 2.019 -6.067 3.540 -4.971 -3.023 -2.304 -3.762 -4.184" Properties=species:S:1:pos:R:3 pbc="T T T"
C 0.917 -5.104 -5.876
C 0.597 -1.476 -4.545
Cu -2.026 -1.609 -7.398
Cu 0.000 0.000 0.000
Y 1.200 -3.671 -4.067
Y -1.455 -0.424 -4.843
Y -0.900 -5.099 -10.907
Y -1.063 -4.233 -6.733
```

## Properties
mass density	4.89	g/cm3
E	-6.50	eV per atom
crystal system	tetragonal
energy relative to the elements	1.41	kcal/mol of atoms
symmetry	I-42d